A plane-wave DFT calculation with PBE-GGA was carried out for BeCoTc after structural relaxation.

a = 4.4573 Å, b = 4.4573 Å, c = 4.4573 Å
α = 120.07°, β = 117.65°, γ = 91.99°
Atoms (fractional coordinates):
Co: 0.5000 0.0000 0.5000
Co: 0.0000 0.0000 0.0000
Be: 0.0000 0.0000 0.5000
Be: 0.0000 0.5000 0.0000
Tc: 0.3715 0.6215 0.7500
Tc: 0.6285 0.3785 0.2500

Computed properties:
SG = No. 74
Total DFT energy (no corrections) = -43.84 eV/cell

---

A plane-wave DFT calculation with PBE-GGA was carried out for Be2CoTc after structural relaxation.

a = 3.9020 Å, b = 3.9020 Å, c = 3.9020 Å
α = 60.00°, β = 60.00°, γ = 60.00°
Atoms (fractional coordinates):
Be: 0.0000 0.0000 0.0000
Be: 0.7500 0.7500 0.7500
Co: 0.2500 0.2500 0.2500
Tc: 0.5000 0.5000 0.5000

Computed properties:
SG = No. 216
Total DFT energy (no corrections) = -25.07 eV/cell

---

A plane-wave DFT calculation with PBE-GGA was carried out for BeTlCoTc after structural relaxation.

a = 4.2955 Å, b = 4.2955 Å, c = 4.2955 Å
α = 60.00°, β = 60.00°, γ = 60.00°
Atoms (fractional coordinates):
Tc: 0.5000 0.5000 0.5000
Tl: 0.0000 0.0000 0.0000
Co: 0.7500 0.7500 0.7500
Be: 0.2500 0.2500 0.2500

Computed properties:
SG = No. 216
Total DFT energy (no corrections) = -21.48 eV/cell

---

A plane-wave DFT calculation with PBE-GGA was carried out for Be3CoTe4 after structural relaxation.

a = 6.4936 Å, b = 6.4936 Å, c = 6.4936 Å
α = 131.77°, β = 131.77°, γ = 70.59°
Atoms (fractional coordinates):
Be: 0.2500 0.7500 0.5000
Be: 0.5000 0.5000 0.0000
Be: 0.7500 0.2500 0.5000
Te: 0.5000 0.0000 0.5000
Te: 0.7564 0.7564 0.0000
Te: 0.2436 0.2436 0.0000
Te: 0.0000 0.5000 0.5000
Co: 0.0000 0.0000 0.0000

Computed properties:
SG = No. 139
Total DFT energy (no corrections) = -29.83 eV/cell

---

A plane-wave DFT calculation with PBE-GGA was carried out for BeCoTe after structural relaxation.

a = 3.9869 Å, b = 3.9869 Å, c = 3.9869 Å
α = 60.00°, β = 60.00°, γ = 60.00°
Atoms (fractional coordinates):
Te: 0.7500 0.7500 0.7500
Be: 0.2500 0.2500 0.2500
Co: 0.0000 0.0000 0.0000

Computed properties:
SG = No. 216
Total DFT energy (no corrections) = -14.01 eV/cell

---

A plane-wave DFT calculation with PBE-GGA was carried out for Be2CoTe after structural relaxation.

a = 4.2036 Å, b = 4.2036 Å, c = 4.2036 Å
α = 60.00°, β = 60.00°, γ = 60.00°
Atoms (fractional coordinates):
Co: 0.2500 0.2500 0.2500
Be: 0.7500 0.7500 0.7500
Be: 0.0000 0.0000 0.0000
Te: 0.5000 0.5000 0.5000

Computed properties:
SG = No. 216
Total DFT energy (no corrections) = -15.38 eV/cell

---

A plane-wave DFT calculation with PBE-GGA was carried out for ThBeCo after structural relaxation.

a = 4.2783 Å, b = 4.2783 Å, c = 4.2783 Å
α = 60.00°, β = 60.00°, γ = 60.00°
Atoms (fractional coordinates):
Co: 0.7500 0.7500 0.7500
Be: 0.0000 0.0000 0.0000
Th: 0.2500 0.2500 0.2500

Computed properties:
SG = No. 216
Total DFT energy (no corrections) = -17.24 eV/cell

---

A plane-wave DFT calculation with PBE-GGA was carried out for ThBeCo after structural relaxation.

a = 4.3384 Å, b = 4.3384 Å, c = 4.3384 Å
α = 60.00°, β = 60.00°, γ = 60.00°
Atoms (fractional coordinates):
Co: 0.0000 0.0000 0.0000
Th: 0.7500 0.7500 0.7500
Be: 0.2500 0.2500 0.2500

Computed properties:
SG = No. 216
Total DFT energy (no corrections) = -17.86 eV/cell

---

A plane-wave DFT calculation with PBE-GGA was carried out for BeTlCo after structural relaxation.

a = 3.9721 Å, b = 3.9721 Å, c = 3.9721 Å
α = 60.00°, β = 60.00°, γ = 60.00°
Atoms (fractional coordinates):
Tl: 0.7500 0.7500 0.7500
Co: 0.2500 0.2500 0.2500
Be: 0.0000 0.0000 0.0000

Computed properties:
SG = No. 216
Total DFT energy (no corrections) = -11.61 eV/cell

---

A plane-wave DFT calculation with PBE-GGA was carried out for BeTl2Co after structural relaxation.

a = 4.7008 Å, b = 4.7008 Å, c = 4.7008 Å
α = 60.00°, β = 60.00°, γ = 60.00°
Atoms (fractional coordinates):
Be: 0.2500 0.2500 0.2500
Co: 0.0000 0.0000 0.0000
Tl: 0.5000 0.5000 0.5000
Tl: 0.7500 0.7500 0.7500

Computed properties:
SG = No. 216
Total DFT energy (no corrections) = -11.73 eV/cell

---

A plane-wave DFT calculation with PBE-GGA was carried out for BeTlCo2 after structural relaxation.

a = 4.1986 Å, b = 4.1986 Å, c = 4.1986 Å
α = 60.00°, β = 60.00°, γ = 60.00°
Atoms (fractional coordinates):
Tl: 0.5000 0.5000 0.5000
Be: 0.2500 0.2500 0.2500
Co: 0.0000 0.0000 0.0000
Co: 0.7500 0.7500 0.7500

Computed properties:
SG = No. 216
Total DFT energy (no corrections) = -18.31 eV/cell

---

A plane-wave DFT calculation with PBE-GGA was carried out for BeTlCoW after structural relaxation.

a = 4.3772 Å, b = 4.3772 Å, c = 4.3772 Å
α = 60.00°, β = 60.00°, γ = 60.00°
Atoms (fractional coordinates):
Tl: 0.0000 0.0000 0.0000
Co: 0.7500 0.7500 0.7500
W: 0.2500 0.2500 0.2500
Be: 0.5000 0.5000 0.5000

Computed properties:
SG = No. 216
Total DFT energy (no corrections) = -22.34 eV/cell